A relaxed Be3CdB crystal, computed with PBE-GGA.

Lattice parameters (Å, degrees): 4.4015 4.4015 4.4015 90.00 90.00 90.00
Atoms (fractional coordinates):
Be (0.5000, 0.0000, 0.0000)
Be (0.0000, 0.0000, 0.5000)
Be (0.0000, 0.5000, 0.0000)
B (0.5000, 0.5000, 0.5000)
Cd (0.0000, 0.0000, 0.0000)

Values from the calculation:
The space group is Pm-3m (221). Its energy of formation from the pure elements is 1.8825 eV/atom. The relative energy among the computed polymorphs comes out at 1454 meV/atom. The value obtained for the density of states at the Fermi level is 1.40 states/eV/f.u.

A relaxed Cs7SnSe6 crystal, computed with PBE-GGA.

Lattice parameters (Å, degrees): 9.2430 13.2258 13.2258 74.03 69.55 69.55
Atoms (fractional coordinates):
Se (0.4908, 0.7740, 0.5832)
Se (0.4249, 0.1695, 0.8305)
Se (0.6519, 0.2740, 0.0832)
Se (0.5751, 0.8305, 0.1695)
Se (0.8481, 0.4168, 0.2260)
Se (0.5092, 0.2260, 0.4168)
Se (0.0092, 0.9168, 0.7260)
Se (0.9249, 0.3305, 0.6695)
Se (0.9908, 0.0832, 0.2740)
Se (0.0751, 0.6695, 0.3305)
Se (0.3481, 0.7260, 0.9168)
Se (0.1519, 0.5832, 0.7740)
Cs (0.9790, 0.6578, 0.0804)
Cs (0.7500, 0.7500, 0.7500)
Cs (0.7172, 0.9196, 0.3422)
Cs (0.2360, 0.4594, 0.5406)
Cs (0.4790, 0.5804, 0.1578)
Cs (0.7640, 0.5406, 0.4594)
Cs (0.7828, 0.1578, 0.5804)
Cs (0.2828, 0.0804, 0.6578)
Cs (0.5210, 0.4196, 0.8422)
Cs (0.2640, 0.9594, 0.0406)
Cs (0.0210, 0.3422, 0.9196)
Cs (0.2500, 0.2500, 0.2500)
Cs (0.7360, 0.0406, 0.9594)
Cs (0.2172, 0.8422, 0.4196)
Sn (0.7500, 0.2500, 0.2500)
Sn (0.2500, 0.7500, 0.7500)

Values from the calculation:
The space group is Ibam (72). The value obtained for the density of states at the Fermi level is 20.97 states/eV/f.u. The value obtained for the uncorrected formation energy is -0.98 eV per atom.

A relaxed Na2Cd12In5 crystal, computed with PBE-GGA.

Lattice parameters (Å, degrees): 6.1659 9.4813 9.4813 64.72 74.41 74.41
Atoms (fractional coordinates):
In (0.4135, 0.8009, 0.8009)
In (0.5000, 0.0000, 0.0000)
In (0.5865, 0.1991, 0.1991)
In (0.1918, 0.6192, 0.6192)
In (0.8082, 0.3808, 0.3808)
Cd (0.4525, 0.3542, 0.8524)
Cd (0.5475, 0.6458, 0.1476)
Cd (0.8223, 0.4826, 0.9221)
Cd (0.2580, 0.4191, 0.4191)
Cd (0.4525, 0.8524, 0.3542)
Cd (0.5475, 0.1476, 0.6458)
Cd (0.1777, 0.5174, 0.0779)
Cd (0.9074, 0.8289, 0.8289)
Cd (0.8223, 0.9221, 0.4826)
Cd (0.0926, 0.1711, 0.1711)
Cd (0.7420, 0.5809, 0.5809)
Cd (0.1777, 0.0779, 0.5174)
Na (0.0000, 0.1833, 0.8167)
Na (0.0000, 0.8167, 0.1833)

Values from the calculation:
The space group is C2/m (12). Its energy of formation from the pure elements is -0.0114 eV/atom. The value obtained for the density of states at the Fermi level is 6.53 states/eV/f.u.

A relaxed BaZn4CuPt2 crystal, computed with PBE-GGA.

Lattice parameters (Å, degrees): 4.3342 4.3342 9.7443 77.15 77.15 60.00
Atoms (fractional coordinates):
Zn (0.5876, 0.5876, 0.2371)
Zn (0.8663, 0.8663, 0.4012)
Zn (0.4124, 0.4124, 0.7629)
Zn (0.1337, 0.1337, 0.5988)
Cu (0.5000, 0.5000, 0.5000)
Pt (0.7723, 0.7723, 0.6832)
Pt (0.2277, 0.2277, 0.3168)
Ba (0.0000, 0.0000, 0.0000)

Values from the calculation:
The space group is R-3m (166). Its energy of formation from the pure elements is -0.3864 eV/atom. The value obtained for the density of states at the Fermi level is 3.76 states/eV/f.u.

A relaxed CaYBr2 crystal, computed with PBE-GGA.

Lattice parameters (Å, degrees): 3.5754 3.5753 10.5039 90.00 90.00 90.00
Atoms (fractional coordinates):
Br (0.0000, 0.0000, 0.9122)
Br (0.0000, 0.0000, 0.5878)
Ca (0.5000, 0.5000, 0.2500)
Y (0.5000, 0.5000, 0.7500)

Values from the calculation:
The space group is P4/mmm (123). The relative energy among the computed polymorphs comes out at 284 meV/atom. The value obtained for the density of states at the Fermi level is 1.44 states/eV/f.u. The value obtained for the uncorrected formation energy is -0.97 eV per atom.

A relaxed TaPPtRhAuI crystal, computed with PBE-GGA.

Lattice parameters (Å, degrees): 5.5857 3.6058 11.8010 90.00 100.30 90.00
Atoms (fractional coordinates):
I (0.8757, 0.5000, 0.0930)
I (0.8757, 0.0000, 0.5930)
Rh (0.7336, 0.5000, 0.7674)
Rh (0.7336, 0.0000, 0.2674)
Au (0.3433, 0.5000, 0.5916)
Au (0.3433, 0.0000, 0.0916)
P (0.3430, 0.0000, 0.3195)
P (0.3430, 0.5000, 0.8195)
Ta (0.6337, 0.0000, 0.9174)
Ta (0.6337, 0.5000, 0.4174)
Pt (0.1010, 0.0000, 0.8603)
Pt (0.1010, 0.5000, 0.3603)

Values from the calculation:
The space group is Cm (8). The relative energy among the computed polymorphs comes out at 80 meV/atom. The value obtained for the density of states at the Fermi level is 2.70 states/eV/f.u. The value obtained for the uncorrected formation energy is -0.10 eV per atom.

Q: Which E values were calculated for the entries above? A: -1.87 -3.18 -1.45 -3.29 -3.92 -6.01, in eV/atom.